1.
The following is a DFT calculation (PBE) of a relaxed SmTl2Ge crystal.

a b c (Å): 4.486 4.486 5.071
angles (deg): 90.00 90.00 90.00
Space group P4/mmm (No. 123)
Unique sites:
Sm 0.000 0.000 0.000 x1
Tl 0.000 0.500 0.500 x2
Ge 0.500 0.500 0.000 x1

Summary:
Theoretical density   10.28 g cm⁻³
Energy   -0.28002 Ry/atom
Energy relative to the elements   -28.2 kJ per mole of atoms
Total moment   0.00 Bohr magnetons per cell
ΔE to the lowest computed polymorph   0.0 kJ/mol of atoms

2.
The following is a DFT calculation (PBE) of a relaxed Tb2DyMgO crystal.

a b c (Å): 4.859 4.859 4.815
angles (deg): 90.00 90.00 90.00
Space group P4/mmm (No. 123)
Unique sites:
Tb 0.000 0.500 0.000 x2
Dy 0.000 0.000 0.500 x1
Mg 0.500 0.500 0.500 x1
O 0.000 0.000 0.000 x1

Summary:
Theoretical density   7.61 g cm⁻³
Formation energy from raw total energies   -1200 meV per atom
Energy   -0.38832 Ry/atom
Total moment   0.00 Bohr magnetons per cell

theoretical density of number 2 (Tb2DyMgO)? 7.61 g cm⁻³